Record 1
DFT (SCAN) results for a PBEsol-optimized structure of CaMg2Zr. Values from VASP.

```
&SYSTEM
  ibrav = 0, nat = 4, ntyp = 3
/
ATOMIC_SPECIES
Ca 40.08 Ca.upf
Mg 24.30 Mg.upf
Zr 91.22 Zr.upf
CELL_PARAMETERS angstrom
5.275 0.000 0.000
0.000 5.275 0.000
0.000 0.000 3.527
ATOMIC_POSITIONS angstrom
Ca 0.000 0.000 0.000
Mg 0.000 2.637 1.763
Mg 2.637 0.000 1.763
Zr 2.637 2.637 0.000
```

Properties
As for the total energy: -12.455 eV/atom. For the total moment, the calculation gives 0.92 μB/f.u. The calculated formation energy is 0.123 eV/atom.

=====

Record 2
DFT (SCAN) results for a PBEsol-optimized structure of ZnSiP2S. Values from VASP.

```
&SYSTEM
  ibrav = 0, nat = 5, ntyp = 4
/
ATOMIC_SPECIES
Zn 65.41 Zn.upf
Si 28.09 Si.upf
P 30.97 P.upf
S 32.06 S.upf
CELL_PARAMETERS angstrom
4.514 0.000 0.000
0.000 4.514 0.000
0.000 0.000 4.621
ATOMIC_POSITIONS angstrom
Zn 0.000 0.000 0.000
Si 2.257 2.257 2.311
P 0.000 2.257 0.000
P 2.257 0.000 0.000
S 0.000 0.000 2.311
```

Properties
As for the raw formation energy: 1.12 eV per atom. As for the total energy: -9.670 eV/atom. For the total moment, the calculation gives 0.00 μB/f.u.

=====

Record 3
DFT (SCAN) results for a PBEsol-optimized structure of Sb2MoRu. Values from VASP.

```
&SYSTEM
  ibrav = 0, nat = 4, ntyp = 3
/
ATOMIC_SPECIES
Sb 121.76 Sb.upf
Mo 95.94 Mo.upf
Ru 101.07 Ru.upf
CELL_PARAMETERS angstrom
3.259 0.000 0.000
0.000 3.259 0.000
0.000 0.000 6.464
ATOMIC_POSITIONS angstrom
Sb 0.000 0.000 1.597
Sb 0.000 0.000 4.867
Mo 1.629 1.629 0.000
Ru 1.629 1.629 3.232
```

Properties
As for the raw formation energy: 0.21 eV per atom. As for the total energy: -35.847 eV/atom. For the total moment, the calculation gives 0.00 μB/f.u. As for the offset from the most stable computed form: 0.000 eV per atom.

=====

Record 4
DFT (SCAN) results for a PBEsol-optimized structure of CrOs2Ru. Values from VASP.

```
&SYSTEM
  ibrav = 0, nat = 4, ntyp = 3
/
ATOMIC_SPECIES
Cr 52.00 Cr.upf
Os 190.23 Os.upf
Ru 101.07 Ru.upf
CELL_PARAMETERS angstrom
4.404 0.000 0.000
0.000 4.404 0.000
0.000 0.000 2.773
ATOMIC_POSITIONS angstrom
Cr 0.000 0.000 0.000
Os 0.000 2.202 1.387
Os 2.202 0.000 1.387
Ru 2.202 2.202 0.000
```

Properties
As for the total energy: -48.839 eV/atom. For the total moment, the calculation gives 0.90 μB/f.u. The calculated formation energy is 0.403 eV/atom. As for the offset from the most stable computed form: 0.021 eV per atom.

=====

Record 5
DFT (SCAN) results for a PBEsol-optimized structure of K2Cr2AsHO10. Values from VASP.

```
&SYSTEM
  ibrav = 0, nat = 48, ntyp = 5
/
ATOMIC_SPECIES
K 39.10 K.upf
Cr 52.00 Cr.upf
As 74.92 As.upf
H 1.01 H.upf
O 16.00 O.upf
CELL_PARAMETERS angstrom
7.670 0.000 0.000
-3.835 6.642 0.000
0.000 0.000 14.382
ATOMIC_POSITIONS angstrom
K -2.093 3.626 4.794
K -2.475 4.286 11.985
K 1.360 2.356 7.191
K 1.742 3.017 0.000
K 4.186 0.000 9.588
K 4.949 0.000 2.397
Cr -2.103 3.868 1.055
Cr 1.537 2.887 10.643
Cr 1.732 2.775 3.739
Cr 0.566 6.530 5.849
Cr 4.401 0.113 13.328
Cr 5.372 3.755 8.533
As -0.511 0.885 11.985
As 1.022 0.000 2.397
As 3.324 5.757 7.191
H -3.585 6.209 4.794
H 0.250 0.433 0.000
H 7.170 0.000 9.588
O -3.322 6.306 5.965
O 0.034 0.613 1.171
O 0.513 0.336 13.211
O -1.221 3.340 7.410
O -0.920 3.511 0.024
O -1.802 5.047 9.351
O -0.035 2.473 11.458
O -1.675 5.436 1.870
O 0.365 2.558 4.556
O 2.160 1.206 2.924
O -0.334 5.683 4.818
O 2.033 1.595 9.826
O -0.332 6.030 12.204
O 1.254 4.090 9.613
O 1.553 3.915 2.616
O 3.503 0.612 6.972
O 3.501 0.959 14.358
O 2.614 3.303 11.766
O 1.437 5.679 14.145
O 2.915 3.131 4.770
O 1.710 5.375 6.664
O 5.272 0.963 5.032
O 3.800 4.169 7.719
O 5.545 1.267 12.513
O 4.200 4.084 0.238
O 5.089 2.552 9.564
O 5.388 2.727 2.178
O 3.287 6.366 10.759
O 7.122 0.277 8.417
O 3.869 6.030 3.623
```

Properties
As for the total energy: -10.486 eV/atom. For the total moment, the calculation gives 0.00 μB/f.u.

=====

Record 6
DFT (SCAN) results for a PBEsol-optimized structure of Mg2TlCd. Values from VASP.

```
&SYSTEM
  ibrav = 0, nat = 4, ntyp = 3
/
ATOMIC_SPECIES
Mg 24.30 Mg.upf
Tl 204.38 Tl.upf
Cd 112.41 Cd.upf
CELL_PARAMETERS angstrom
5.358 -1.615 0.000
5.358 1.615 0.000
-0.879 0.000 5.209
ATOMIC_POSITIONS angstrom
Mg 0.000 0.000 0.000
Mg 2.034 0.000 3.696
Tl 7.873 0.000 1.109
Cd 4.947 0.000 2.672
```

Properties
As for the total energy: -28.280 eV/atom. For the total moment, the calculation gives 0.00 μB/f.u. The calculated formation energy is -0.100 eV/atom.

=====

Record 7
DFT (SCAN) results for a PBEsol-optimized structure of AgPdPt3. Values from VASP.

```
&SYSTEM
  ibrav = 0, nat = 5, ntyp = 3
/
ATOMIC_SPECIES
Ag 107.87 Ag.upf
Pd 106.42 Pd.upf
Pt 195.08 Pt.upf
CELL_PARAMETERS angstrom
4.741 0.000 0.000
0.000 4.741 0.000
0.000 0.000 4.741
ATOMIC_POSITIONS angstrom
Ag 0.000 0.000 0.000
Pd 2.371 2.371 2.371
Pt 0.000 2.371 2.371
Pt 2.371 0.000 2.371
Pt 2.371 2.371 0.000
```

Properties
As for the total energy: -53.457 eV/atom. For the total moment, the calculation gives 1.04 μB/f.u. The calculated formation energy is 1.487 eV/atom.

=====

Record 8
DFT (SCAN) results for a PBEsol-optimized structure of CaH12CO9. Values from VASP.

```
&SYSTEM
  ibrav = 0, nat = 46, ntyp = 4
/
ATOMIC_SPECIES
Ca 40.08 Ca.upf
H 1.01 H.upf
C 12.01 C.upf
O 16.00 O.upf
CELL_PARAMETERS angstrom
4.287 -4.087 0.000
4.287 4.087 0.000
-3.559 0.000 10.107
ATOMIC_POSITIONS angstrom
Ca 1.618 2.889 7.581
Ca 3.397 -2.889 2.527
H -0.458 0.983 6.475
H 0.077 2.510 10.107
H -0.304 1.280 9.129
H 0.941 0.706 4.829
H 3.159 2.510 5.055
H 1.941 0.774 3.537
H 1.321 -0.983 1.421
H 0.830 0.068 6.737
H 2.609 -0.068 1.683
H -0.839 -0.706 9.882
H 0.162 -0.774 8.591
H 1.476 -1.280 4.075
H 3.540 1.280 6.032
H 4.854 0.774 1.517
H 5.854 0.706 0.225
H 2.406 0.068 8.424
H 4.186 -0.068 3.371
H 3.694 0.983 8.686
H 3.074 -0.774 6.570
H 1.856 -2.510 5.053
H 4.075 -0.706 5.279
H 5.319 -1.280 0.979
H 4.939 -2.510 0.001
H 5.474 -0.983 3.633
C 3.397 2.430 2.527
C 1.618 -2.430 7.581
O 2.820 3.089 3.479
O -0.019 2.242 9.148
O 3.975 3.089 1.575
O 0.546 0.961 6.385
O 1.088 0.386 3.876
O -0.692 -0.386 8.930
O 3.255 2.242 6.013
O 3.397 1.133 2.527
O 2.326 -0.961 1.332
O 2.690 0.961 8.776
O 1.618 -1.133 7.581
O 1.761 -2.242 4.094
O 5.707 0.386 1.178
O 3.928 -0.386 6.232
O 4.469 -0.961 3.722
O 1.041 -3.089 8.533
O 5.034 -2.242 0.959
O 2.195 -3.089 6.628
```

Properties
As for the total energy: -6.456 eV/atom. For the total moment, the calculation gives 0.00 μB/f.u.